Computed, not measured: an optimized crystal structure of Co3SnPd at the PBE level of DFT.

```
Co3SnPd
1.0
4.581 0.000 0.000
0.000 4.581 0.000
0.000 0.000 4.581
Co Sn Pd
3 1 1
Direct
0.000 0.500 0.000
0.000 0.000 0.500
0.500 0.000 0.000
0.500 0.500 0.500
0.000 0.000 0.000
```

**N(E_F)**: 7.54 states/eV per cell
**ΔH_f (0 K)**: 1.13 eV per atom